1.
Density functional theory data (PBE-GGA) for a relaxed structure of BaYTe2.

a = 5.639 Å, b = 5.639 Å, c = 5.639 Å
α = 60.00°, β = 60.00°, γ = 60.00°
Sites, in units of the cell vectors:
Ba 0.000 0.000 0.000
Y 0.250 0.250 0.250
Te 0.500 0.500 0.500
Te 0.750 0.750 0.750

## Properties
distance to the lowest polymorph of the same formula	1036	meV/atom
formation energy from raw total energies	-498	meV per atom
total magnetic moment	0.0	μB per cell
symmetry	No. 216

***

2.
Density functional theory data (PBE-GGA) for a relaxed structure of BaYTe2.

a = 8.308 Å, b = 8.308 Å, c = 4.437 Å
α = 90.08°, β = 90.08°, γ = 30.54°
Sites, in units of the cell vectors:
Ba 0.000 0.000 0.000
Y 0.230 0.230 0.502
Te 0.413 0.413 0.500
Te 0.688 0.688 0.002

## Properties
distance to the lowest polymorph of the same formula	225	meV/atom
formation energy from raw total energies	-1309	meV per atom
total magnetic moment	0.7	μB per cell
symmetry	No. 8

***

Question: Which formula does entry 1 have?
Answer: BaYTe2